Below is a geometry-optimized AlIr2Ru structure, with properties calculated at the PBE level.

Summary:
V ... 14.5 A^3/atom
Total moment ... 1.5 μB/f.u.
DFT formation energy ... -51.6 meV/atom

abc: 4.3478 4.3478 4.3478
angles: 60.00 60.00 60.00
Closest atoms and distances in Å follow each position.
Atoms (fractional coordinates):
Al1 0.5000 0.5000 0.5000  4 Ru 2.66, 4 Ir 2.66
Ru1 0.7500 0.7500 0.7500  4 Al 2.66, 4 Ir 2.66
Ir1 0.2500 0.2500 0.2500  4 Ir 2.66, 4 Al 2.66
Ir2 0.0000 0.0000 0.0000  4 Ru 2.66, 4 Ir 2.66



Below is a geometry-optimized AlIrRu2 structure, with properties calculated at the PBE level.

Summary:
V ... 14.1 A^3/atom
Total moment ... 0.0 μB/f.u.
DFT formation energy ... -250.6 meV/atom

abc: 4.6996 4.6996 4.6151
angles: 80.05 80.05 34.23
Closest atoms and distances in Å follow each position.
Atoms (fractional coordinates):
Ru1 0.9977 0.9977 0.0005  3 Al 2.69-2.73, 6 Ru 2.69-2.77, 3 Ir 2.70-2.72
Ir1 0.2500 0.2500 0.2500  4 Al 2.69, 6 Ru 2.70-2.72, 2 Ir 2.77
Al1 0.7500 0.7500 0.7500  6 Ru 2.69-2.73, 4 Ir 2.69, 2 Al 2.77
Ru2 0.5023 0.5023 0.4995  3 Al 2.69-2.73, 6 Ru 2.69-2.77, 3 Ir 2.70-2.72



Below is a geometry-optimized AlIr2Ru structure, with properties calculated at the PBE level.

Summary:
V ... 14.2 A^3/atom
Total moment ... 0.0 μB/f.u.
DFT formation energy ... -316.0 meV/atom

abc: 2.7742 3.7786 5.4324
angles: 90.00 90.00 90.00
Closest atoms and distances in Å follow each position.
Atoms (fractional coordinates):
Ir1 0.0000 0.0000 0.4999  4 Ru 2.71, 4 Al 2.71, 4 Ir 2.72-2.77
Ir2 0.0000 0.0000 0.0001  4 Ru 2.71, 4 Al 2.71, 4 Ir 2.72-2.77
Ru1 0.5000 0.5000 0.2500  8 Ir 2.71, 2 Al 2.72, 2 Ru 2.77
Al1 0.5000 0.5000 0.7500  8 Ir 2.71, 2 Ru 2.72, 2 Al 2.77



Below is a geometry-optimized AlIr2Ru structure, with properties calculated at the PBE level.

Summary:
V ... 14.2 A^3/atom
Total moment ... 0.0 μB/f.u.
DFT formation energy ... -334.5 meV/atom

abc: 4.6309 4.6309 2.7693
angles: 90.00 90.00 106.87
Closest atoms and distances in Å follow each position.
Atoms (fractional coordinates):
Ir1 0.5000 0.5000 0.0000  4 Ru 2.70, 4 Al 2.70, 4 Ir 2.76-2.77
Al1 0.0000 0.5000 0.5000  8 Ir 2.70, 2 Ru 2.76, 2 Al 2.77
Ir2 0.0000 0.0000 0.0000  4 Al 2.70, 4 Ru 2.70, 4 Ir 2.76-2.77
Ru1 0.5000 0.0000 0.5000  8 Ir 2.70, 2 Al 2.76, 2 Ru 2.77



Below is a geometry-optimized AlIrRu2 structure, with properties calculated at the PBE level.

Summary:
V ... 14.2 A^3/atom
Total moment ... 0.0 μB/f.u.
DFT formation energy ... -142.0 meV/atom

abc: 3.9421 3.7932 3.7932
angles: 90.00 90.00 90.00
Closest atoms and distances in Å follow each position.
Atoms (fractional coordinates):
Ru1 0.0000 0.0000 0.0000  4 Ru 2.68, 4 Al 2.74, 4 Ir 2.74
Al1 0.5000 0.5000 0.0000  4 Ir 2.68, 8 Ru 2.74
Ir1 0.5000 0.0000 0.5000  4 Al 2.68, 8 Ru 2.74
Ru2 0.0000 0.5000 0.5000  4 Ru 2.68, 4 Al 2.74, 4 Ir 2.74



Below is a geometry-optimized AlIr2Ru structure, with properties calculated at the PBE level.

Summary:
V ... 14.2 A^3/atom
Total moment ... 0.0 μB/f.u.
DFT formation energy ... -353.6 meV/atom

abc: 4.7016 4.7016 4.7016
angles: 131.67 131.67 70.75
Closest atoms and distances in Å follow each position.
Atoms (fractional coordinates):
Al1 0.7500 0.2500 0.5000  8 Ir 2.72, 4 Ru 2.72
Ru1 0.2500 0.7500 0.5000  8 Ir 2.72, 4 Al 2.72
Ir1 0.5000 0.5000 0.0000  4 Al 2.72, 4 Ru 2.72, 4 Ir 2.72
Ir2 0.0000 0.0000 0.0000  4 Al 2.72, 4 Ru 2.72, 4 Ir 2.72